# 1
Compound: Tb6Nd3Dy2Ho
Source: Alexandria via LeMat-Bulk
Functional: PBE-GGA
Structure: relaxed

abc: 6.210 6.210 11.871
angles: 94.99 94.99 119.98
Atoms (fractional coordinates):
Tb 0.918 0.584 0.754
Tb 0.749 0.749 0.246
Tb 0.082 0.416 0.246
Tb 0.584 0.918 0.754
Tb 0.251 0.251 0.754
Tb 0.416 0.082 0.246
Nd 0.167 0.833 0.500
Nd 0.833 0.167 0.500
Nd 0.500 0.500 0.500
Dy 0.333 0.667 0.000
Dy 0.667 0.333 0.000
Ho 0.000 0.000 0.000

Energy relative to the elements   0.02 eV/atom
Size of the total moment   0.00 μB/f.u.

# 2
Compound: TbNd2Dy6Ho3
Source: Alexandria via LeMat-Bulk
Functional: PBE-GGA
Structure: relaxed

abc: 6.168 6.168 11.798
angles: 94.98 94.98 119.96
Atoms (fractional coordinates):
Tb 0.000 0.000 0.000
Nd 0.333 0.667 0.000
Nd 0.667 0.333 0.000
Dy 0.915 0.582 0.747
Dy 0.752 0.752 0.253
Dy 0.085 0.418 0.253
Dy 0.582 0.915 0.747
Dy 0.248 0.248 0.747
Dy 0.418 0.085 0.253
Ho 0.166 0.834 0.500
Ho 0.834 0.166 0.500
Ho 0.500 0.500 0.500

Energy relative to the elements   0.02 eV/atom
Size of the total moment   0.00 μB/f.u.

# 3
Compound: Tb4NdDyHo2
Source: Alexandria via LeMat-Bulk
Functional: PBE-GGA
Structure: relaxed

abc: 9.497 9.497 11.782
angles: 128.33 128.33 88.51
Last column: magnetic moment on the atom in μB.
Atoms (fractional coordinates):
Tb 0.253 0.751 0.002  0.29
Tb 0.749 0.247 0.498  0.29
Tb 0.251 0.753 0.502  0.29
Tb 0.747 0.249 0.998  0.29
Tb 0.745 0.749 0.998  0.30
Tb 0.751 0.755 0.502  0.30
Tb 0.249 0.245 0.498  0.30
Tb 0.255 0.251 0.002  0.30
Nd 0.000 0.500 0.000  0.25
Nd 0.000 0.500 0.500  0.25
Dy 0.500 0.500 0.500  0.33
Dy 0.000 0.000 0.000  0.33
Ho 0.500 0.000 0.000  0.26
Ho 0.500 0.000 0.500  0.26
Ho 0.000 0.000 0.500  0.32
Ho 0.500 0.500 0.000  0.32

Energy relative to the elements   0.43 eV/atom
Size of the total moment   3.19 μB/f.u.

# 4
Compound: Tb6Nd3DyHo2
Source: Alexandria via LeMat-Bulk
Functional: PBE-GGA
Structure: relaxed

abc: 6.208 6.208 11.866
angles: 94.99 94.99 119.98
Atoms (fractional coordinates):
Tb 0.918 0.584 0.754
Tb 0.749 0.749 0.246
Tb 0.082 0.416 0.246
Tb 0.584 0.918 0.754
Tb 0.251 0.251 0.754
Tb 0.416 0.082 0.246
Nd 0.167 0.833 0.500
Nd 0.833 0.167 0.500
Nd 0.500 0.500 0.500
Dy 0.000 0.000 0.000
Ho 0.333 0.667 0.000
Ho 0.667 0.333 0.000

Energy relative to the elements   0.02 eV/atom
Size of the total moment   0.00 μB/f.u.

# 5
Compound: Tb2NdDyHo2
Source: Alexandria via LeMat-Bulk
Functional: PBE-GGA
Structure: relaxed

abc: 3.393 6.541 17.829
angles: 90.00 90.00 90.00
Atoms (fractional coordinates):
Tb 0.500 0.276 0.314
Tb 0.000 0.776 0.186
Tb 0.500 0.724 0.686
Tb 0.000 0.224 0.814
Nd 0.000 0.000 0.000
Nd 0.500 0.500 0.500
Dy 0.500 0.500 0.000
Dy 0.000 0.000 0.500
Ho 0.500 0.779 0.352
Ho 0.500 0.221 0.648
Ho 0.000 0.721 0.852
Ho 0.000 0.279 0.148

Energy relative to the elements   0.28 eV/atom
Size of the total moment   0.00 μB/f.u.

# 6
Compound: TbNd2Dy4Ho2
Source: Alexandria via LeMat-Bulk
Functional: PBE-GGA
Structure: relaxed

abc: 6.865 9.871 6.607
angles: 121.40 127.08 59.30
Atoms (fractional coordinates):
Tb 0.000 0.000 0.000
Nd 0.274 0.659 0.607
Nd 0.726 0.341 0.393
Dy 0.742 0.888 0.207
Dy 0.619 0.760 0.505
Dy 0.258 0.112 0.793
Dy 0.381 0.240 0.495
Ho 0.825 0.443 0.036
Ho 0.175 0.557 0.964

Energy relative to the elements   0.09 eV/atom
Size of the total moment   0.00 μB/f.u.

# 7
Compound: Tb2Nd2Dy2Ho
Source: Alexandria via LeMat-Bulk
Functional: PBE-GGA
Structure: relaxed

abc: 5.710 5.710 8.794
angles: 71.06 71.06 60.00
Atoms (fractional coordinates):
Tb 0.718 0.718 0.846
Tb 0.282 0.282 0.154
Nd 0.138 0.138 0.586
Nd 0.862 0.862 0.414
Dy 0.576 0.576 0.271
Dy 0.424 0.424 0.729
Ho 0.000 0.000 0.000

Energy relative to the elements   0.15 eV/atom
Size of the total moment   0.02 μB/f.u.

# 8
Compound: Tb4Nd2Dy2Ho
Source: Alexandria via LeMat-Bulk
Functional: PBE-GGA
Structure: relaxed

abc: 3.612 9.538 9.593
angles: 115.19 90.00 100.91
Atoms (fractional coordinates):
Tb 0.814 0.629 0.665
Tb 0.186 0.371 0.335
Tb 0.519 0.038 0.334
Tb 0.481 0.962 0.666
Nd 0.334 0.669 0.001
Nd 0.666 0.331 0.999
Dy 0.853 0.706 0.337
Dy 0.147 0.294 0.663
Ho 0.000 0.000 0.000

Energy relative to the elements   0.00 eV/atom
Size of the total moment   0.00 μB/f.u.

# 9
Compound: Tb2Nd3DyHo6
Source: Alexandria via LeMat-Bulk
Functional: PBE-GGA
Structure: relaxed

abc: 6.192 6.192 11.787
angles: 95.01 95.01 119.97
Atoms (fractional coordinates):
Tb 0.333 0.667 0.000
Tb 0.667 0.333 0.000
Nd 0.167 0.833 0.500
Nd 0.833 0.167 0.500
Nd 0.500 0.500 0.500
Dy 0.000 0.000 0.000
Ho 0.917 0.584 0.753
Ho 0.749 0.749 0.247
Ho 0.083 0.416 0.247
Ho 0.584 0.917 0.753
Ho 0.251 0.251 0.753
Ho 0.416 0.083 0.247

Energy relative to the elements   0.02 eV/atom
Size of the total moment   0.00 μB/f.u.

# 10
Compound: Tb2NdDyHo5
Source: Alexandria via LeMat-Bulk
Functional: PBE-GGA
Structure: relaxed

abc: 8.878 8.878 9.694
angles: 117.25 117.25 90.00
Atoms (fractional coordinates):
Tb 0.113 0.387 0.000
Tb 0.613 0.113 0.000
Tb 0.387 0.887 0.000
Tb 0.887 0.613 0.000
Nd 0.250 0.250 0.500
Nd 0.750 0.750 0.500
Dy 0.250 0.750 0.500
Dy 0.750 0.250 0.500
Ho 0.927 0.427 0.266
Ho 0.661 0.161 0.734
Ho 0.073 0.573 0.734
Ho 0.161 0.073 0.734
Ho 0.573 0.661 0.734
Ho 0.839 0.927 0.266
Ho 0.427 0.339 0.266
Ho 0.339 0.839 0.266
Ho 0.500 0.500 0.000
Ho 0.000 0.000 0.000

Energy relative to the elements   0.29 eV/atom
Size of the total moment   0.00 μB/f.u.

# 11
Compound: Tb3Nd2Dy6Ho
Source: Alexandria via LeMat-Bulk
Functional: PBE-GGA
Structure: relaxed

abc: 6.178 6.178 11.817
angles: 94.98 94.98 119.96
Atoms (fractional coordinates):
Tb 0.166 0.834 0.500
Tb 0.834 0.166 0.500
Tb 0.500 0.500 0.500
Nd 0.333 0.667 0.000
Nd 0.667 0.333 0.000
Dy 0.916 0.583 0.748
Dy 0.752 0.752 0.252
Dy 0.084 0.417 0.252
Dy 0.583 0.916 0.748
Dy 0.248 0.248 0.748
Dy 0.417 0.084 0.252
Ho 0.000 0.000 0.000

Energy relative to the elements   0.02 eV/atom
Size of the total moment   0.00 μB/f.u.

# 12
Compound: Tb6Nd2Dy3Ho
Source: Alexandria via LeMat-Bulk
Functional: PBE-GGA
Structure: relaxed

abc: 6.185 6.185 11.844
angles: 94.97 94.97 119.97
Atoms (fractional coordinates):
Tb 0.916 0.583 0.748
Tb 0.752 0.752 0.253
Tb 0.084 0.417 0.252
Tb 0.583 0.916 0.748
Tb 0.248 0.248 0.747
Tb 0.417 0.084 0.252
Nd 0.333 0.667 0.000
Nd 0.667 0.333 0.000
Dy 0.166 0.834 0.500
Dy 0.834 0.166 0.500
Dy 0.500 0.500 0.500
Ho 0.000 0.000 0.000

Energy relative to the elements   0.01 eV/atom
Size of the total moment   0.00 μB/f.u.